# 1
## NdBiAu2 (PBE)

Data for crystalline NdBiAu2 at its relaxed geometry.

The space group is Amm2 (No. 38) and the conventional cell measures 4.575, 3.974 and 11.231 Å, with angles of 90.00, 90.00 and 90.00 degrees. The distinct sites, in fractional coordinates, are Nd at (0.000, 0.000, 0.000), Bi at (0.500, 0.000, 0.708), Au at (0.000, 0.000, 0.279) and Au at (0.500, 0.000, 0.436).

# 2
## NdYBi4Au2 (PBE)

Data for crystalline NdYBi4Au2 at its relaxed geometry.

The space group is P4mm (No. 99) and the conventional cell measures 4.635, 4.635 and 9.980 Å, with angles of 90.00, 90.00 and 90.00 degrees. The distinct sites, in fractional coordinates, are Nd at (0.000, 0.000, 0.000), Y at (0.500, 0.500, 0.465), Bi at (0.000, 0.000, 0.433), Bi at (0.000, 0.500, 0.730), Bi at (0.500, 0.500, 0.043) and Au at (0.000, 0.500, 0.241).

# 3
## Ni3Bi5Au (PBE)

Data for crystalline Ni3Bi5Au at its relaxed geometry.

The space group is P6/mmm (No. 191) and the conventional cell measures 5.4870, 5.4870 and 8.0713 Å, with angles of 90.00, 90.00 and 120.00 degrees. The distinct sites, in fractional coordinates, are Ni at (0.0000, 0.5000, 0.0000), Bi at (0.0000, 0.0000, 0.0000), Bi at (0.3333, 0.6667, 0.2815) and Au at (0.0000, 0.0000, 0.5000).

# 4
## Ni2BiAu (PBE)

Data for crystalline Ni2BiAu at its relaxed geometry.

The space group is F-43m (No. 216) and the conventional cell measures 6.466, 6.466 and 6.466 Å, with angles of 90.00, 90.00 and 90.00 degrees. The distinct sites, in fractional coordinates, are Ni at (0.000, 0.000, 0.000), Ni at (0.250, 0.250, 0.250), Bi at (0.000, 0.000, 0.500) and Au at (0.250, 0.250, 0.750).

# 5
## NiBiPdAu (PBE)

Data for crystalline NiBiPdAu at its relaxed geometry.

The space group is F-43m (No. 216) and the conventional cell measures 6.569, 6.569 and 6.569 Å, with angles of 90.00, 90.00 and 90.00 degrees. The distinct sites, in fractional coordinates, are Ni at (0.000, 0.000, 0.000), Bi at (0.250, 0.250, 0.750), Pd at (0.000, 0.000, 0.500) and Au at (0.250, 0.250, 0.250).

# 6
## TaNiBiAu (PBE)

Data for crystalline TaNiBiAu at its relaxed geometry.

The space group is F-43m (No. 216) and the conventional cell measures 6.651, 6.651 and 6.651 Å, with angles of 90.00, 90.00 and 90.00 degrees. The distinct sites, in fractional coordinates, are Ta at (0.000, 0.000, 0.000), Ni at (0.000, 0.000, 0.500), Bi at (0.250, 0.250, 0.250) and Au at (0.250, 0.250, 0.750).

Per-record volume, Å³ per atom: 25.5; 26.8; 23.4; 16.9; 17.7; 18.4
Per-record calculated total energy, eV/cell: -34.783; -38.388; -39.652; -69.163; -72.722; -92.668